VASP calculation (PBE-GGA) on an optimized crystal structure of Gd2ErGa3AgPd2.

Structure (POSCAR):
```
Gd2ErGa3AgPd2
1.0
3.740 0.000 0.000
0.000 6.520 3.778
0.000 -6.520 3.778
Ag Er Ga Gd Pd
1 1 3 2 2
direct
0.000 0.002 0.002 Ag
0.000 0.408 0.408 Er
0.500 0.270 0.002 Ga
0.500 0.002 0.270 Ga
0.500 0.729 0.729 Ga
0.000 0.000 0.592 Gd
0.000 0.592 0.000 Gd
0.500 0.663 0.335 Pd
0.500 0.335 0.663 Pd
```

## Properties
DFT total energy   -42.8 eV for the cell shown
Calculated density   9.1 g cm⁻³